Record 1
The following is a DFT calculation (PBEsol) of Tc2AgRu after structural relaxation.

Properties
space group	P4mm
relative energy among the computed polymorphs	0	meV per atom

Cell lengths 2.6998, 2.6998, 7.9379 Å; angles 90.00, 90.00, 90.00 degrees
With the nearest neighbours (Å) after each atom.
Positions (direct):
Tc (0.0000, 0.0000, 0.0000)  4 Ru 2.58, 8 Tc 2.70-2.73
Tc (0.5000, 0.5000, 0.2456)  8 Tc 2.70-2.73, 4 Ag 2.85
Ag (0.0000, 0.0000, 0.5127)  4 Ag 2.70, 4 Tc 2.85, 4 Ru 2.86
Ru (0.5000, 0.5000, 0.7808)  4 Tc 2.58, 4 Ru 2.70, 4 Ag 2.86


Record 2
The following is a DFT calculation (PBEsol) of Bi2Pd after structural relaxation.

Properties
space group	C2/m

Cell lengths 12.6690, 4.2480, 5.6720 Å; angles 90.00, 103.12, 90.00 degrees
With the nearest neighbours (Å) after each atom.
Positions (direct):
Bi (0.0723, 0.0000, 0.2921)  3 Pd 2.84-2.95
Bi (0.1575, 0.5000, 0.8165)  4 Pd 2.84-3.05
Bi (0.3425, 0.0000, 0.1835)  4 Pd 2.84-3.05
Bi (0.4277, 0.5000, 0.7079)  3 Pd 2.84-2.95
Bi (0.5723, 0.5000, 0.2921)  3 Pd 2.84-2.95
Bi (0.6575, 0.0000, 0.8165)  4 Pd 2.84-3.05
Bi (0.8425, 0.5000, 0.1835)  4 Pd 2.84-3.05
Bi (0.9277, 0.0000, 0.7079)  3 Pd 2.84-2.95
Pd (0.2236, 0.5000, 0.3325)  2 Pd 2.83, 7 Bi 2.84-3.05
Pd (0.2764, 0.0000, 0.6675)  2 Pd 2.83, 7 Bi 2.84-3.05
Pd (0.7236, 0.0000, 0.3325)  2 Pd 2.83, 7 Bi 2.84-3.05
Pd (0.7764, 0.5000, 0.6675)  2 Pd 2.83, 7 Bi 2.84-3.05


Record 3
The following is a DFT calculation (PBEsol) of KMgZr2 after structural relaxation.

Properties
space group	Cmmm

Cell lengths 6.2672, 11.3113, 2.8874 Å; angles 90.00, 90.00, 90.00 degrees
With the nearest neighbours (Å) after each atom.
Positions (direct):
K (0.0000, 0.0000, 0.0000)  2 K 2.89, 2 Mg 3.13
K (0.5000, 0.5000, 0.0000)  2 K 2.89, 2 Mg 3.13
Mg (0.0000, 0.5000, 0.0000)  2 Mg 2.89, 2 K 3.13
Mg (0.5000, 0.0000, 0.0000)  2 Mg 2.89, 2 K 3.13
Zr (0.2500, 0.2500, 0.5000)  4 Zr 2.89-3.13
Zr (0.2500, 0.7500, 0.5000)  4 Zr 2.89-3.13
Zr (0.7500, 0.2500, 0.5000)  4 Zr 2.89-3.13
Zr (0.7500, 0.7500, 0.5000)  4 Zr 2.89-3.13


no.,ΔE_f (eV/atom)
1,0.3093
2,-0.2718
3,0.7529